Compound: Hg3Bi5S12
Source: the Alexandria database
Functional: PBE-GGA
Structure: relaxed

Geometry as POSCAR:
```
Hg3Bi5S12
1.0
-8.2345 8.2345 8.2345
8.2345 -8.2345 8.2345
8.2345 8.2345 -8.2345
Hg Bi S
12 20 48
direct
0.1250 0.2500 0.3750
0.1250 0.3750 0.7500
0.2500 0.3750 0.1250
0.2500 0.8750 0.6250
0.3750 0.1250 0.2500
0.3750 0.7500 0.1250
0.6250 0.2500 0.8750
0.6250 0.8750 0.7500
0.7500 0.1250 0.3750
0.7500 0.6250 0.8750
0.8750 0.6250 0.2500
0.8750 0.7500 0.6250
0.0000 0.0000 0.0000
0.0000 0.0000 0.5000
0.0000 0.5000 0.0000
0.0000 0.5000 0.5000
0.1250 0.7500 0.8750
0.1250 0.8750 0.2500
0.2500 0.1250 0.8750
0.2500 0.6250 0.3750
0.3750 0.2500 0.6250
0.3750 0.6250 0.7500
0.5000 0.0000 0.0000
0.5000 0.0000 0.5000
0.5000 0.5000 0.0000
0.5000 0.5000 0.5000
0.6250 0.3750 0.2500
0.6250 0.7500 0.3750
0.7500 0.3750 0.6250
0.7500 0.8750 0.1250
0.8750 0.1250 0.7500
0.8750 0.2500 0.1250
0.0411 0.6455 0.2157
0.0411 0.8955 0.8254
0.0701 0.1746 0.7157
0.0701 0.3955 0.3545
0.1045 0.1746 0.9589
0.1045 0.4299 0.1455
0.1455 0.1045 0.4299
0.1455 0.5411 0.7157
0.1746 0.7157 0.0701
0.1746 0.9589 0.1045
0.2157 0.0411 0.6455
0.2157 0.6746 0.5701
0.2843 0.8545 0.4589
0.2843 0.9299 0.8254
0.3254 0.3955 0.5411
0.3254 0.4299 0.7843
0.3545 0.0701 0.3955
0.3545 0.7843 0.9589
0.3955 0.3545 0.0701
0.3955 0.5411 0.3254
0.4299 0.1455 0.1045
0.4299 0.7843 0.3254
0.4589 0.2843 0.8545
0.4589 0.6746 0.6045
0.5411 0.3254 0.3955
0.5411 0.7157 0.1455
0.5701 0.2157 0.6746
0.5701 0.8545 0.8955
0.6045 0.4589 0.6746
0.6045 0.6455 0.9299
0.6455 0.2157 0.0411
0.6455 0.9299 0.6045
0.6746 0.5701 0.2157
0.6746 0.6045 0.4589
0.7157 0.0701 0.1746
0.7157 0.1455 0.5411
0.7843 0.3254 0.4299
0.7843 0.9589 0.3545
0.8254 0.0411 0.8955
0.8254 0.2843 0.9299
0.8545 0.4589 0.2843
0.8545 0.8955 0.5701
0.8955 0.5701 0.8545
0.8955 0.8254 0.0411
0.9299 0.6045 0.6455
0.9299 0.8254 0.2843
0.9589 0.1045 0.1746
0.9589 0.3545 0.7843
```

Results
- SG: No. 230
- Raw formation energy: 6 meV/atom
- Crystal system: cubic
- M_tot: 0.00 μB/cell

Compound: HgBi2S
Source: the Alexandria database
Functional: PBE-GGA
Structure: relaxed

Geometry as POSCAR:
```
HgBi2S
1.0
3.7319 0.0000 0.0000
-1.8659 3.2319 0.0000
0.0000 0.0000 27.1114
Hg Bi S
3 6 3
direct
0.0000 0.0000 0.0000
0.3333 0.6667 0.6667
0.6667 0.3333 0.3333
0.0000 0.0000 0.2403
0.0000 0.0000 0.7597
0.3333 0.6667 0.4264
0.3333 0.6667 0.9069
0.6667 0.3333 0.0931
0.6667 0.3333 0.5736
0.0000 0.0000 0.5000
0.3333 0.6667 0.1667
0.6667 0.3333 0.8333
```

Results
- SG: No. 166
- Raw formation energy: 57 meV/atom
- Crystal system: trigonal
- M_tot: 0.00 μB/cell
- Energy above the most stable polymorph in this dataset: 0 meV per atom

Compound: HgBi2S6
Source: the Alexandria database
Functional: PBE-GGA
Structure: relaxed

Geometry as POSCAR:
```
HgBi2S6
1.0
6.2266 0.0000 0.0000
0.0000 6.2266 0.0000
0.0000 0.0000 12.4564
Hg Bi S
2 4 12
direct
0.0000 0.0000 0.0000
0.5000 0.5000 0.5000
0.0000 0.0000 0.3330
0.0000 0.0000 0.6670
0.5000 0.5000 0.1670
0.5000 0.5000 0.8330
0.1939 0.1939 0.1652
0.1939 0.1939 0.8348
0.2032 0.2032 0.5000
0.2968 0.7032 0.0000
0.3061 0.6939 0.3348
0.3061 0.6939 0.6652
0.6939 0.3061 0.3348
0.6939 0.3061 0.6652
0.7032 0.2968 0.0000
0.7968 0.7968 0.5000
0.8061 0.8061 0.1652
0.8061 0.8061 0.8348
```

Results
- SG: No. 136
- Raw formation energy: 267 meV/atom
- Crystal system: tetragonal
- M_tot: 0.00 μB/cell